The following is a PBE calculation of a geometry-optimized PmPuOsAu structure, from Alexandria.

Cell lengths 5.014, 5.014, 5.014 Å; angles 60.00, 60.00, 60.00 degrees
Each line ends with the local moment (μB).
Atoms (fractional coordinates):
Os (0.500, 0.500, 0.500)  -0.41
Au (0.000, 0.000, 0.000)  0.04
Pu (0.250, 0.250, 0.250)  5.18
Pm (0.750, 0.750, 0.750)  0.12

Results
VASP energy = -34.31 eV for the cell shown
Space-group type = No. 216
Volume = 22.281 Å³ per atom

The following is a PBE calculation of a geometry-optimized PmScOsAu structure, from Alexandria.

Cell lengths 4.887, 4.887, 4.887 Å; angles 60.00, 60.00, 60.00 degrees
Atoms (fractional coordinates):
Au (0.000, 0.000, 0.000)
Pm (0.750, 0.750, 0.750)
Os (0.500, 0.500, 0.500)
Sc (0.250, 0.250, 0.250)

Results
VASP energy = -27.11 eV for the cell shown
Space-group type = No. 216
Volume = 20.628 Å³ per atom

The following is a PBE calculation of a geometry-optimized PmThOsAu structure, from Alexandria.

Cell lengths 5.114, 5.114, 5.114 Å; angles 60.00, 60.00, 60.00 degrees
Atoms (fractional coordinates):
Au (0.500, 0.500, 0.500)
Os (0.000, 0.000, 0.000)
Th (0.750, 0.750, 0.750)
Pm (0.250, 0.250, 0.250)

Results
VASP energy = -28.09 eV for the cell shown
Space-group type = No. 216
Volume = 23.650 Å³ per atom

The following is a PBE calculation of a geometry-optimized PmTmOsAu structure, from Alexandria.

Cell lengths 4.979, 4.979, 4.979 Å; angles 60.00, 60.00, 60.00 degrees
Atoms (fractional coordinates):
Au (0.000, 0.000, 0.000)
Pm (0.750, 0.750, 0.750)
Os (0.500, 0.500, 0.500)
Tm (0.250, 0.250, 0.250)

Results
VASP energy = -25.40 eV for the cell shown
Space-group type = No. 216
Volume = 21.824 Å³ per atom

The following is a PBE calculation of a geometry-optimized PmYOsAu structure, from Alexandria.

Cell lengths 5.016, 5.016, 5.016 Å; angles 60.00, 60.00, 60.00 degrees
Atoms (fractional coordinates):
Pm (0.250, 0.250, 0.250)
Y (0.750, 0.750, 0.750)
Au (0.000, 0.000, 0.000)
Os (0.500, 0.500, 0.500)

Results
VASP energy = -27.28 eV for the cell shown
Space-group type = No. 216
Volume = 22.316 Å³ per atom

The following is a PBE calculation of a geometry-optimized Pr6OsAu structure, from Alexandria.

Cell lengths 9.865, 9.864, 8.574 Å; angles 110.41, 107.22, 116.08 degrees
Atoms (fractional coordinates):
Pr (0.258, 0.390, 0.648)
Pr (0.742, 0.610, 0.352)
Pr (0.710, 0.504, 0.856)
Pr (0.874, 0.315, 0.188)
Pr (0.352, 0.146, 0.856)
Pr (0.648, 0.854, 0.144)
Pr (0.840, 0.171, 0.665)
Pr (0.290, 0.496, 0.144)
Pr (0.160, 0.829, 0.335)
Pr (0.494, 0.825, 0.665)
Pr (0.126, 0.685, 0.812)
Pr (0.506, 0.175, 0.335)
Au (0.000, 0.000, 0.500)
Au (0.500, 0.500, 0.500)
Os (0.500, 0.000, 0.000)
Os (0.000, 0.500, 0.000)

Results
VASP energy = -86.12 eV for the cell shown
Space-group type = No. 12
Volume = 37.120 Å³ per atom

The following is a PBE calculation of a geometry-optimized Pr8OsAu2 structure, from Alexandria.

Cell lengths 6.598, 8.957, 8.957 Å; angles 125.07, 106.51, 106.51 degrees
Atoms (fractional coordinates):
Pr (0.994, 0.141, 0.758)
Pr (0.657, 0.181, 0.432)
Pr (0.994, 0.758, 0.141)
Pr (0.351, 0.891, 0.662)
Pr (0.351, 0.662, 0.891)
Pr (0.092, 0.252, 0.252)
Pr (0.765, 0.700, 0.700)
Pr (0.657, 0.432, 0.181)
Au (0.426, 0.284, 0.698)
Au (0.426, 0.698, 0.284)
Os (0.285, 0.033, 0.033)

Results
VASP energy = -58.49 eV for the cell shown
Space-group type = No. 8
Volume = 31.027 Å³ per atom

The following is a PBE calculation of a geometry-optimized Pr5OsAu2 structure, from Alexandria.

Cell lengths 4.328, 8.735, 12.406 Å; angles 90.00, 90.00, 90.00 degrees
Atoms (fractional coordinates):
Pr (0.500, 0.679, 0.420)
Pr (0.000, 0.650, 0.700)
Pr (0.500, 0.321, 0.580)
Pr (0.500, 0.179, 0.080)
Pr (0.000, 0.850, 0.200)
Pr (0.000, 0.000, 0.500)
Pr (0.000, 0.500, 0.000)
Pr (0.000, 0.150, 0.800)
Pr (0.500, 0.821, 0.920)
Pr (0.000, 0.350, 0.300)
Au (0.500, 0.435, 0.826)
Au (0.500, 0.065, 0.326)
Au (0.500, 0.935, 0.674)
Au (0.500, 0.565, 0.174)
Os (0.000, 0.500, 0.500)
Os (0.000, 0.000, 0.000)

Results
VASP energy = -90.37 eV for the cell shown
Space-group type = No. 55
Volume = 29.310 Å³ per atom

The following is a PBE calculation of a geometry-optimized Pr8OsAu2 structure, from Alexandria.

Cell lengths 5.210, 7.148, 9.437 Å; angles 100.58, 106.02, 90.00 degrees
Atoms (fractional coordinates):
Au (0.191, 0.734, 0.383)
Au (0.809, 0.266, 0.617)
Pr (0.204, 0.323, 0.408)
Pr (0.587, 0.438, 0.174)
Pr (0.974, 0.213, 0.947)
Pr (0.796, 0.677, 0.592)
Pr (0.413, 0.562, 0.826)
Pr (0.026, 0.787, 0.053)
Pr (0.658, 0.968, 0.316)
Pr (0.342, 0.032, 0.684)
Os (0.500, 0.000, 0.000)

Results
VASP energy = -59.06 eV for the cell shown
Space-group type = No. 12
Volume = 30.141 Å³ per atom

The following is a PBE calculation of a geometry-optimized Pr6OsAu2 structure, from Alexandria.

Cell lengths 6.997, 7.671, 10.668 Å; angles 90.00, 86.79, 90.00 degrees
Atoms (fractional coordinates):
Pr (0.824, 0.687, 0.063)
Pr (0.176, 0.313, 0.937)
Pr (0.855, 0.964, 0.751)
Pr (0.355, 0.536, 0.251)
Pr (0.173, 0.317, 0.569)
Pr (0.645, 0.464, 0.749)
Pr (0.145, 0.036, 0.249)
Pr (0.324, 0.813, 0.563)
Pr (0.327, 0.817, 0.931)
Pr (0.827, 0.683, 0.431)
Pr (0.676, 0.187, 0.437)
Pr (0.673, 0.183, 0.069)
Os (0.500, 0.500, 0.000)
Os (0.000, 0.000, 0.500)
Au (0.944, 0.391, 0.235)
Au (0.056, 0.609, 0.765)
Au (0.556, 0.891, 0.265)
Au (0.444, 0.109, 0.735)

Results
VASP energy = -99.21 eV for the cell shown
Space-group type = No. 14
Volume = 31.760 Å³ per atom

The following is a PBE calculation of a geometry-optimized Pr4OsAu structure, from Alexandria.

Cell lengths 6.387, 8.299, 8.238 Å; angles 114.11, 105.30, 104.21 degrees
Atoms (fractional coordinates):
Os (0.749, 0.999, 0.998)
Os (0.251, 0.001, 0.002)
Pr (0.641, 0.059, 0.353)
Pr (0.359, 0.941, 0.647)
Pr (0.970, 0.781, 0.138)
Pr (0.332, 0.643, 0.862)
Pr (0.030, 0.219, 0.862)
Pr (0.212, 0.293, 0.353)
Pr (0.668, 0.357, 0.138)
Pr (0.788, 0.707, 0.647)
Au (0.623, 0.373, 0.746)
Au (0.377, 0.627, 0.254)

Results
VASP energy = -70.88 eV for the cell shown
Space-group type = No. 15
Volume = 29.344 Å³ per atom

The following is a PBE calculation of a geometry-optimized Pr2OsAu structure, from Alexandria.

Cell lengths 3.546, 3.546, 7.735 Å; angles 90.00, 90.00, 90.00 degrees
Atoms (fractional coordinates):
Os (0.500, 0.500, 0.000)
Au (0.500, 0.500, 0.500)
Pr (0.000, 0.000, 0.771)
Pr (0.000, 0.000, 0.229)

Results
VASP energy = -25.34 eV for the cell shown
Space-group type = No. 123
Volume = 24.314 Å³ per atom

The following is a PBE calculation of a geometry-optimized PrPuOsAu structure, from Alexandria.

Cell lengths 5.052, 5.052, 5.052 Å; angles 60.00, 60.00, 60.00 degrees
Each line ends with the local moment (μB).
Atoms (fractional coordinates):
Au (0.750, 0.750, 0.750)  0.04
Os (0.250, 0.250, 0.250)  -0.43
Pu (0.500, 0.500, 0.500)  5.20
Pr (0.000, 0.000, 0.000)  0.12

Results
VASP energy = -34.14 eV for the cell shown
Space-group type = No. 216
Volume = 22.797 Å³ per atom

Number 1: calculated formation energy -180 meV/atom, Fermi-level density of states 2.533 states/eV/atom. Number 2: calculated formation energy -380 meV/atom, Fermi-level density of states 0.574 states/eV/atom. Number 3: calculated formation energy -352 meV/atom, Fermi-level density of states 0.756 states/eV/atom. Number 4: calculated formation energy -418 meV/atom, Fermi-level density of states 0.586 states/eV/atom. Number 5: calculated formation energy -388 meV/atom, Fermi-level density of states 0.706 states/eV/atom. Number 6: calculated formation energy 16 meV/atom, Fermi-level density of states 1.226 states/eV/atom. Number 7: calculated formation energy -225 meV/atom, Fermi-level density of states 1.186 states/eV/atom. Number 8: calculated formation energy -438 meV/atom, Fermi-level density of states 0.943 states/eV/atom. Number 9: calculated formation energy -276 meV/atom, Fermi-level density of states 1.061 states/eV/atom. Number 10: calculated formation energy -349 meV/atom, Fermi-level density of states 1.025 states/eV/atom. Number 11: calculated formation energy -302 meV/atom, Fermi-level density of states 1.096 states/eV/atom. Number 12: calculated formation energy -320 meV/atom, Fermi-level density of states 0.437 states/eV/atom. Number 13: calculated formation energy -132 meV/atom, Fermi-level density of states 2.587 states/eV/atom.